VASP calculation (PBE) on an optimized crystal structure of CsTlHgSe.

```
data_CsTlHgSe
_cell_length_a 4.299
_cell_length_b 5.916
_cell_length_c 12.623
_cell_angle_alpha 90.00
_cell_angle_beta 90.00
_cell_angle_gamma 90.00
_space_group_name_H-M_alt 'I m m 2'
_space_group_IT_number 44
_space_group_name_Hall 'I 2 -2'
loop_
_atom_site_label
_atom_site_type_symbol
_atom_site_fract_x
_atom_site_fract_y
_atom_site_fract_z
Cs1 Cs 0.000 0.000 0.000
Tl1 Tl 0.000 0.500 0.222
Hg1 Hg 0.000 0.000 0.325
Se1 Se 0.000 0.000 0.567
```

Computed properties:
- energy above the lowest structure with this stoichiometry (meV/atom) = 0.0
- D(E_F) (states/eV/f.u.) = 0.138

=====

VASP calculation (PBE) on an optimized crystal structure of CsTlHgSe.

```
data_CsTlHgSe
_cell_length_a 8.295
_cell_length_b 8.295
_cell_length_c 8.295
_cell_angle_alpha 90.00
_cell_angle_beta 90.00
_cell_angle_gamma 90.00
_space_group_name_H-M_alt 'F -4 3 m'
_space_group_IT_number 216
_space_group_name_Hall 'F -4 2 3'
loop_
_atom_site_label
_atom_site_type_symbol
_atom_site_fract_x
_atom_site_fract_y
_atom_site_fract_z
Cs1 Cs 0.000 0.000 0.000
Tl1 Tl 0.000 0.000 0.500
Hg1 Hg 0.250 0.250 0.250
Se1 Se 0.250 0.250 0.750
```

Computed properties:
- energy above the lowest structure with this stoichiometry (meV/atom) = 97.7

=====

VASP calculation (PBE) on an optimized crystal structure of Cs2TlHgSe.

```
data_Cs2TlHgSe
_cell_length_a 6.909
_cell_length_b 6.909
_cell_length_c 6.247
_cell_angle_alpha 90.00
_cell_angle_beta 90.00
_cell_angle_gamma 90.00
_space_group_name_H-M_alt 'P 4/m m m'
_space_group_IT_number 123
_space_group_name_Hall '-P 4 2'
loop_
_atom_site_label
_atom_site_type_symbol
_atom_site_fract_x
_atom_site_fract_y
_atom_site_fract_z
Cs1 Cs 0.000 0.500 0.000
Tl1 Tl 0.000 0.000 0.500
Hg1 Hg 0.500 0.500 0.500
Se1 Se 0.000 0.000 0.000
```

Computed properties:
- D(E_F) (states/eV/f.u.) = 5.344

=====

VASP calculation (PBE) on an optimized crystal structure of Cs2TmHg2Se4.

```
data_Cs2TmHg2Se4
_cell_length_a 16.928
_cell_length_b 4.236
_cell_length_c 8.853
_cell_angle_alpha 90.00
_cell_angle_beta 112.50
_cell_angle_gamma 90.00
_space_group_name_H-M_alt 'C 1 2/m 1'
_space_group_IT_number 12
_space_group_name_Hall '-C 2y'
loop_
_atom_site_label
_atom_site_type_symbol
_atom_site_fract_x
_atom_site_fract_y
_atom_site_fract_z
Cs1 Cs 0.128 0.000 0.071
Tm1 Tm 0.000 0.000 0.500
Hg1 Hg 0.188 0.500 0.516
Se1 Se 0.022 0.500 0.294
Se2 Se 0.178 0.000 0.711
```

Computed properties:
- D(E_F) (states/eV/f.u.) = 3.654

=====

VASP calculation (PBE) on an optimized crystal structure of CsUHg2Se6.

```
data_CsUHg2Se6
_cell_length_a 6.566
_cell_length_b 6.857
_cell_length_c 9.031
_cell_angle_alpha 80.05
_cell_angle_beta 74.07
_cell_angle_gamma 69.55
_space_group_name_H-M_alt 'P -1'
_space_group_IT_number 2
_space_group_name_Hall '-P 1'
loop_
_atom_site_label
_atom_site_type_symbol
_atom_site_fract_x
_atom_site_fract_y
_atom_site_fract_z
Cs1 Cs 0.000 0.000 0.000
U1 U 0.500 0.500 0.500
Hg1 Hg 0.150 0.208 0.485
Se1 Se 0.159 0.429 0.716
Se2 Se 0.231 0.846 0.346
Se3 Se 0.499 0.280 0.283
```

Computed properties:
- D(E_F) (states/eV/f.u.) = 4.895

=====

VASP calculation (PBE) on an optimized crystal structure of CsVHgSe4.

```
data_CsVHgSe4
_cell_length_a 6.245
_cell_length_b 7.763
_cell_length_c 10.261
_cell_angle_alpha 90.00
_cell_angle_beta 107.75
_cell_angle_gamma 90.00
_space_group_name_H-M_alt 'P 1 21/m 1'
_space_group_IT_number 11
_space_group_name_Hall '-P 2yb'
loop_
_atom_site_label
_atom_site_type_symbol
_atom_site_fract_x
_atom_site_fract_y
_atom_site_fract_z
Cs1 Cs 0.160 0.250 0.379
V1 V 0.364 0.750 0.219
Hg1 Hg 0.227 0.250 0.880
Se1 Se 0.079 0.750 0.006
Se2 Se 0.226 0.750 0.397
Se3 Se 0.429 0.001 0.778
```

=====

VASP calculation (PBE) on an optimized crystal structure of CsVHgSe2.

```
data_CsVHgSe2
_cell_length_a 5.013
_cell_length_b 5.013
_cell_length_c 5.566
_cell_angle_alpha 90.00
_cell_angle_beta 90.00
_cell_angle_gamma 90.00
_space_group_name_H-M_alt 'P 4/m m m'
_space_group_IT_number 123
_space_group_name_Hall '-P 4 2'
loop_
_atom_site_label
_atom_site_type_symbol
_atom_site_fract_x
_atom_site_fract_y
_atom_site_fract_z
Cs1 Cs 0.000 0.000 0.000
V1 V 0.500 0.500 0.500
Hg1 Hg 0.500 0.500 0.000
Se1 Se 0.000 0.500 0.500
```

Computed properties:
- D(E_F) (states/eV/f.u.) = 2.949

=====

VASP calculation (PBE) on an optimized crystal structure of CsYHgSe2.

```
data_CsYHgSe2
_cell_length_a 5.599
_cell_length_b 5.599
_cell_length_c 5.781
_cell_angle_alpha 90.00
_cell_angle_beta 90.00
_cell_angle_gamma 90.00
_space_group_name_H-M_alt 'P 4/m m m'
_space_group_IT_number 123
_space_group_name_Hall '-P 4 2'
loop_
_atom_site_label
_atom_site_type_symbol
_atom_site_fract_x
_atom_site_fract_y
_atom_site_fract_z
Cs1 Cs 0.000 0.000 0.000
Y1 Y 0.500 0.500 0.000
Hg1 Hg 0.000 0.000 0.500
Se1 Se 0.000 0.500 0.500
```

Computed properties:
- D(E_F) (states/eV/f.u.) = 3.897

=====

VASP calculation (PBE) on an optimized crystal structure of CsYHg2Se.

```
data_CsYHg2Se
_cell_length_a 5.622
_cell_length_b 5.622
_cell_length_c 6.450
_cell_angle_alpha 90.00
_cell_angle_beta 90.00
_cell_angle_gamma 90.00
_space_group_name_H-M_alt 'P 4/m m m'
_space_group_IT_number 123
_space_group_name_Hall '-P 4 2'
loop_
_atom_site_label
_atom_site_type_symbol
_atom_site_fract_x
_atom_site_fract_y
_atom_site_fract_z
Cs1 Cs 0.000 0.000 0.000
Y1 Y 0.500 0.500 0.000
Hg1 Hg 0.000 0.500 0.500
Se1 Se 0.000 0.000 0.500
```

Computed properties:
- D(E_F) (states/eV/f.u.) = 5.089

=====

VASP calculation (PBE) on an optimized crystal structure of CsZnHg2Se.

```
data_CsZnHg2Se
_cell_length_a 5.533
_cell_length_b 5.533
_cell_length_c 5.247
_cell_angle_alpha 90.00
_cell_angle_beta 90.00
_cell_angle_gamma 90.00
_space_group_name_H-M_alt 'P 4/m m m'
_space_group_IT_number 123
_space_group_name_Hall '-P 4 2'
loop_
_atom_site_label
_atom_site_type_symbol
_atom_site_fract_x
_atom_site_fract_y
_atom_site_fract_z
Cs1 Cs 0.000 0.000 0.000
Zn1 Zn 0.500 0.500 0.500
Hg1 Hg 0.000 0.500 0.500
Se1 Se 0.500 0.500 0.000
```

Computed properties:
- D(E_F) (states/eV/f.u.) = 1.489

=====

VASP calculation (PBE) on an optimized crystal structure of Cs2ZnHg2Se4.

```
data_Cs2ZnHg2Se4
_cell_length_a 18.198
_cell_length_b 4.108
_cell_length_c 8.098
_cell_angle_alpha 90.00
_cell_angle_beta 105.72
_cell_angle_gamma 90.00
_space_group_name_H-M_alt 'C 1 2/m 1'
_space_group_IT_number 12
_space_group_name_Hall '-C 2y'
loop_
_atom_site_label
_atom_site_type_symbol
_atom_site_fract_x
_atom_site_fract_y
_atom_site_fract_z
Cs1 Cs 0.122 0.000 0.035
Zn1 Zn 0.000 0.000 0.500
Hg1 Hg 0.165 0.500 0.499
Se1 Se 0.022 0.500 0.303
Se2 Se 0.224 0.000 0.706
```

=====

VASP calculation (PBE) on an optimized crystal structure of CsZrHgSe2.

```
data_CsZrHgSe2
_cell_length_a 5.330
_cell_length_b 5.330
_cell_length_c 5.804
_cell_angle_alpha 90.00
_cell_angle_beta 90.00
_cell_angle_gamma 90.00
_space_group_name_H-M_alt 'P 4/m m m'
_space_group_IT_number 123
_space_group_name_Hall '-P 4 2'
loop_
_atom_site_label
_atom_site_type_symbol
_atom_site_fract_x
_atom_site_fract_y
_atom_site_fract_z
Cs1 Cs 0.000 0.000 0.000
Zr1 Zr 0.500 0.500 0.500
Hg1 Hg 0.500 0.500 0.000
Se1 Se 0.000 0.500 0.500
```

Computed properties:
- D(E_F) (states/eV/f.u.) = 1.719

=====

| no. | total magnetization (μB/f.u.) | E (eV/f.u.) |
| --- | --- | --- |
| 1 | 0.00 | -9.24 |
| 2 | 0.00 | -8.84 |
| 3 | 0.00 | -9.76 |
| 4 | 0.00 | -29.53 |
| 5 | 0.00 | -39.58 |
| 6 | 0.00 | -28.69 |
| 7 | 1.28 | -19.67 |
| 8 | 1.31 | -13.39 |
| 9 | 1.15 | -9.36 |
| 10 | 0.00 | -7.89 |
| 11 | 0.00 | -22.96 |
| 12 | 0.00 | -21.04 |